Here is Tb4PrErTm2 after structural relaxation from Alexandria via LeMat-Bulk. Energies are from PBE-GGA.

energy of formation from the pure elements: 432 meV/atom
E_tot: -4.1693 eV/atom

Lattice parameters (Å, degrees): 9.4732 9.4732 6.7840 110.97 110.97 88.48
Last column: nearest neighbours and their distance in Å.
Element x y z (fractional)
Tb (0.2464, 0.2525, 0.4976)  3 Tm 3.26-3.39, 1 Pr 3.35, 2 Tb 3.39, 2 Er 3.39-3.41
Tb (0.2494, 0.7510, 0.5024)  3 Tm 3.29-3.39, 1 Er 3.31, 2 Tb 3.36-3.42, 2 Pr 3.40
Tb (0.2490, 0.7506, 0.9976)  3 Tm 3.29-3.39, 1 Er 3.31, 2 Tb 3.36-3.42, 2 Pr 3.40
Tb (0.2525, 0.2464, 0.9976)  3 Tm 3.26-3.39, 1 Pr 3.35, 2 Tb 3.39, 2 Er 3.39-3.41
Tb (0.7475, 0.7536, 0.0024)  3 Tm 3.26-3.39, 1 Pr 3.35, 2 Tb 3.39, 2 Er 3.39-3.41
Tb (0.7510, 0.2494, 0.0024)  3 Tm 3.29-3.39, 1 Er 3.31, 2 Tb 3.36-3.42, 2 Pr 3.40
Tb (0.7506, 0.2490, 0.4976)  3 Tm 3.29-3.39, 1 Er 3.31, 2 Tb 3.36-3.42, 2 Pr 3.40
Tb (0.7536, 0.7475, 0.5024)  3 Tm 3.26-3.39, 1 Pr 3.35, 2 Tb 3.39, 2 Er 3.39-3.41
Pr (0.0000, 0.5000, 0.0000)  6 Tb 3.35-3.40, 2 Tm 3.39
Pr (0.5000, 0.0000, 0.5000)  6 Tb 3.35-3.40, 2 Tm 3.39
Er (0.5000, 0.5000, 0.0000)  6 Tb 3.31-3.41, 2 Er 3.39
Er (0.5000, 0.5000, 0.5000)  6 Tb 3.31-3.41, 2 Er 3.39
Tm (0.0000, 0.0000, 0.0000)  6 Tb 3.29-3.39, 2 Tm 3.39
Tm (0.0000, 0.0000, 0.5000)  6 Tb 3.29-3.39, 2 Tm 3.39
Tm (0.0000, 0.5000, 0.5000)  6 Tb 3.26-3.39, 2 Pr 3.39
Tm (0.5000, 0.0000, 0.0000)  6 Tb 3.26-3.39, 2 Pr 3.39